The following is a GGA-PBE calculation of crystalline LiAgNO at its relaxed geometry, from OQMD.

a = 4.4757 Å, b = 8.3899 Å, c = 4.4234 Å
α = 90.00°, β = 90.00°, γ = 90.00°
Atoms (fractional coordinates):
N 0.5002 0.8895 0.5501
N 0.4998 0.1105 0.0501
N 0.9998 0.8895 0.0501
N 0.0002 0.1105 0.5501
O 0.0027 0.6243 0.5514
O 0.5027 0.3757 0.5514
O 0.9973 0.3757 0.0514
O 0.4973 0.6243 0.0514
Ag 0.4996 0.8605 0.0501
Ag 0.0004 0.8605 0.5501
Ag 0.9996 0.1395 0.0501
Ag 0.5004 0.1395 0.5501
Li 0.5045 0.3987 0.0508
Li 0.0045 0.6013 0.0508
Li 0.9955 0.3987 0.5508
Li 0.4955 0.6013 0.5508

Output
Calculated density, g cm⁻³: 5.8
Offset from the most stable computed form, eV/f.u.: 0.00

---

The following is a GGA-PBE calculation of crystalline LaAgSnTe3 at its relaxed geometry, from OQMD.

a = 12.4677 Å, b = 4.5811 Å, c = 12.9234 Å
α = 90.00°, β = 90.00°, γ = 90.00°
Atoms (fractional coordinates):
Te 0.6004 0.0000 0.0587
Te 0.0354 0.5000 0.8757
Te 0.4646 0.0000 0.3757
Te 0.3996 0.5000 0.9413
Te 0.8996 0.5000 0.5587
Te 0.7109 0.5000 0.3307
Te 0.2891 0.0000 0.6693
Te 0.5354 0.5000 0.6243
Te 0.7891 0.0000 0.8307
Te 0.9646 0.0000 0.1243
Te 0.1004 0.0000 0.4413
Te 0.2109 0.5000 0.1693
La 0.5225 0.0000 0.8094
La 0.4775 0.5000 0.1906
La 0.0225 0.0000 0.6906
La 0.9775 0.5000 0.3094
Sn 0.8115 0.5000 0.0174
Sn 0.3115 0.5000 0.4826
Sn 0.1885 0.0000 0.9826
Sn 0.6885 0.0000 0.5174
Ag 0.2599 0.0000 0.2870
Ag 0.7401 0.5000 0.7130
Ag 0.2401 0.5000 0.7870
Ag 0.7599 0.0000 0.2130

Output
Calculated density, g cm⁻³: 6.7
Offset from the most stable computed form, eV/f.u.: 0.06

---

The following is a GGA-PBE calculation of crystalline NdGeHO4 at its relaxed geometry, from OQMD.

a = 7.8336 Å, b = 6.5381 Å, c = 7.4281 Å
α = 90.00°, β = 113.22°, γ = 90.00°
Atoms (fractional coordinates):
H 0.3652 0.0919 0.4105
H 0.6348 0.9081 0.5895
H 0.3652 0.4081 0.9105
H 0.6348 0.5919 0.0895
Ge 0.7584 0.6282 0.8556
Ge 0.2416 0.1282 0.6444
Ge 0.7584 0.8718 0.3556
Ge 0.2416 0.3718 0.1444
Nd 0.7515 0.3739 0.3951
Nd 0.2485 0.6261 0.6049
Nd 0.7515 0.1261 0.8951
Nd 0.2485 0.8739 0.1049
O 0.9356 0.8052 0.9547
O 0.4371 0.2144 0.2629
O 0.5629 0.7856 0.7371
O 0.2268 0.9224 0.7864
O 0.4371 0.2856 0.7629
O 0.9356 0.6948 0.4547
O 0.2268 0.5776 0.2864
O 0.7732 0.0776 0.2136
O 0.7732 0.4224 0.7136
O 0.7211 0.4957 0.0546
O 0.2789 0.5043 0.9454
O 0.0644 0.1948 0.0453
O 0.7211 0.0043 0.5546
O 0.5629 0.7144 0.2371
O 0.0644 0.3052 0.5453
O 0.2789 0.9957 0.4454

Output
Calculated density, g cm⁻³: 5.4
Offset from the most stable computed form, eV/f.u.: 0.20

---

Please write out number 3 again, unchanged.
The following is a GGA-PBE calculation of crystalline NdGeHO4 at its relaxed geometry, from OQMD.

a = 7.8336 Å, b = 6.5381 Å, c = 7.4281 Å
α = 90.00°, β = 113.22°, γ = 90.00°
Atoms (fractional coordinates):
H 0.3652 0.0919 0.4105
H 0.6348 0.9081 0.5895
H 0.3652 0.4081 0.9105
H 0.6348 0.5919 0.0895
Ge 0.7584 0.6282 0.8556
Ge 0.2416 0.1282 0.6444
Ge 0.7584 0.8718 0.3556
Ge 0.2416 0.3718 0.1444
Nd 0.7515 0.3739 0.3951
Nd 0.2485 0.6261 0.6049
Nd 0.7515 0.1261 0.8951
Nd 0.2485 0.8739 0.1049
O 0.9356 0.8052 0.9547
O 0.4371 0.2144 0.2629
O 0.5629 0.7856 0.7371
O 0.2268 0.9224 0.7864
O 0.4371 0.2856 0.7629
O 0.9356 0.6948 0.4547
O 0.2268 0.5776 0.2864
O 0.7732 0.0776 0.2136
O 0.7732 0.4224 0.7136
O 0.7211 0.4957 0.0546
O 0.2789 0.5043 0.9454
O 0.0644 0.1948 0.0453
O 0.7211 0.0043 0.5546
O 0.5629 0.7144 0.2371
O 0.0644 0.3052 0.5453
O 0.2789 0.9957 0.4454

Output
Calculated density, g cm⁻³: 5.4
Offset from the most stable computed form, eV/f.u.: 0.20

---

Question: The lowest offset from the most stable computed form belongs to which entry?
Answer: LiAgNO

---

Question: What is the formula in the first record?
Answer: LiAgNO

---

Question: The highest offset from the most stable computed form belongs to which entry?
Answer: NdGeHO4